# 1
First-principles (PBE) data for a relaxed structure of Li2InAu4, as listed in the Alexandria database.

Results
* D(E_F): 2.223 states/eV/f.u.
* offset from the most stable computed form: 41 kJ/mol of formula units

abc: 10.878 5.669 9.122
angles: 90.00 90.00 90.00
Space group Cmce (No. 64)
Unique sites:
Li 0.148 0.000 0.000 (multiplicity 8)
In 0.000 0.000 0.500 (multiplicity 4)
Au 0.000 0.218 0.236 (multiplicity 8)
Au 0.250 0.247 0.250 (multiplicity 8)


# 2
First-principles (PBE) data for a relaxed structure of Fe2HgAs, as listed in the Alexandria database.

Results
* D(E_F): 3.060 states/eV/f.u.
* offset from the most stable computed form: 137 kJ/mol of formula units

abc: 4.214 4.214 16.671
angles: 90.00 90.00 90.00
Space group I-42d (No. 122)
Unique sites:
Fe 0.151 0.250 0.125 (multiplicity 8)
Hg 0.000 0.000 0.500 (multiplicity 4)
As 0.000 0.000 0.000 (multiplicity 4)


# 3
First-principles (PBE) data for a relaxed structure of PrMgNiRh, as listed in the Alexandria database.

Results
* D(E_F): 3.585 states/eV/f.u.

abc: 6.723 6.723 6.723
angles: 90.00 90.00 90.00
Space group F-43m (No. 216)
Unique sites:
Pr 0.000 0.000 0.000 (multiplicity 4)
Mg 0.000 0.000 0.500 (multiplicity 4)
Ni 0.250 0.250 0.250 (multiplicity 4)
Rh 0.250 0.250 0.750 (multiplicity 4)


E_form (eV/atom)
-0.267; 0.518; -0.313